Here is a relaxed FeAsSe2O crystal from Alexandria via LeMat-Bulk. Energies are from GGA+U.

Cell: 4.603 4.603 4.248 Å, 90.00 90.00 90.00°
Fractional positions:
Fe (0.000, 0.000, 0.000)
As (0.500, 0.500, 0.000)
Se (0.000, 0.500, 0.500)
Se (0.500, 0.000, 0.500)
O (0.500, 0.500, 0.500)

Properties
Its space group is P4/mmm (123). Its total magnetization is 3.578 μB/f.u. The calculation puts the energy above the most stable polymorph in this dataset at 0.0 meV/atom. The calculation puts the raw total energy at -0.1455 Ha/atom. As for the density of states at the Fermi level: 3.94 states/eV/f.u.